(1)
This record from Alexandria describes a relaxed In2NiBiPb crystal. The functional is PBE.

Results
As for the calculated density: 8.7 g/cm3. The energy relative to the lowest polymorph listed for this composition is 0.0 kJ/mol of atoms. As for the magnetization: 0.0 μB per cell. The value obtained for the energy relative to the elements is 61 meV/atom.

POSCAR file:
```
In2NiBiPb
1.0
-3.111 3.769 1.225
-1.592 0.237 -4.774
-3.810 -3.500 1.097
Pb Ni Bi In
1 1 1 2
direct
0.000 0.000 0.500
0.000 0.000 0.000
0.500 0.500 0.500
0.000 0.500 0.000
0.500 0.000 0.000
```



(2)
This record from Alexandria describes a relaxed In2NiBiPb crystal. The functional is PBE.

Results
As for the calculated density: 8.6 g/cm3. The energy relative to the lowest polymorph listed for this composition is 1.9 kJ/mol of atoms. As for the magnetization: 0.0 μB per cell. The value obtained for the energy relative to the elements is 80 meV/atom.

POSCAR file:
```
In2NiBiPb
1.0
4.957 0.000 0.000
0.000 4.957 0.000
0.000 0.000 5.530
Pb Ni Bi In
1 1 1 2
direct
0.500 0.500 0.500
0.000 0.000 0.000
0.000 0.000 0.500
0.000 0.500 0.000
0.500 0.000 0.000
```



(3)
This record from Alexandria describes a relaxed InNiBi2Pd crystal. The functional is PBE.

Results
As for the calculated density: 8.4 g/cm3. As for the magnetization: 0.8 μB per cell. The value obtained for the energy relative to the elements is 475 meV/atom.

POSCAR file:
```
InNiBi2Pd
1.0
-3.241 0.766 -4.175
-1.798 -4.426 0.584
-3.746 1.953 3.267
Ni Bi Pd In
1 2 1 1
direct
0.000 0.500 0.000
0.000 0.000 0.500
0.500 0.000 0.000
0.000 0.000 0.000
0.500 0.500 0.500
```



(4)
This record from Alexandria describes a relaxed ScIn2NiBi crystal. The functional is PBE.

Results
As for the calculated density: 7.4 g/cm3. As for the magnetization: 0.0 μB per cell. The value obtained for the energy relative to the elements is -170 meV/atom.

POSCAR file:
```
ScIn2NiBi
1.0
4.950 0.000 0.000
0.000 4.950 0.000
0.000 0.000 4.970
Sc Ni Bi In
1 1 1 2
direct
0.000 0.000 0.500
0.000 0.000 0.000
0.500 0.500 0.500
0.000 0.500 0.000
0.500 0.000 0.000
```



(5)
This record from Alexandria describes a relaxed InNiSn2Bi crystal. The functional is PBE.

Results
As for the calculated density: 7.9 g/cm3. As for the magnetization: 0.0 μB per cell. The value obtained for the energy relative to the elements is 15 meV/atom.

POSCAR file:
```
InNiSn2Bi
1.0
-0.051 5.047 0.415
-2.617 -0.382 4.319
4.324 -0.171 2.605
Ni In Bi Sn
1 1 1 2
direct
0.000 0.000 0.000
0.000 0.000 0.500
0.500 0.500 0.500
0.000 0.500 0.000
0.500 0.000 0.000
```



(6)
This record from Alexandria describes a relaxed SrInNiBi2 crystal. The functional is PBE.

Results
As for the calculated density: 7.7 g/cm3. The energy relative to the lowest polymorph listed for this composition is 0.0 kJ/mol of atoms. As for the magnetization: 0.0 μB per cell. The value obtained for the energy relative to the elements is -199 meV/atom.

POSCAR file:
```
SrInNiBi2
1.0
5.401 0.000 0.000
0.000 5.401 0.000
0.000 0.000 4.996
Sr Ni Bi In
1 1 2 1
direct
0.500 0.500 0.500
0.000 0.000 0.000
0.000 0.500 0.000
0.500 0.000 0.000
0.000 0.000 0.500
```



(7)
This record from Alexandria describes a relaxed SrInNiBi2 crystal. The functional is PBE.

Results
As for the calculated density: 7.5 g/cm3. The energy relative to the lowest polymorph listed for this composition is 9.3 kJ/mol of atoms. As for the magnetization: 0.0 μB per cell. The value obtained for the energy relative to the elements is -103 meV/atom.

POSCAR file:
```
SrInNiBi2
1.0
5.200 0.000 0.000
0.000 5.536 0.000
0.000 0.000 5.200
Sr Ni Bi In
1 1 2 1
direct
0.000 0.500 0.000
0.000 0.000 0.000
0.000 0.000 0.500
0.500 0.000 0.000
0.500 0.500 0.500
```



(8)
This record from Alexandria describes a relaxed SrIn2NiBi crystal. The functional is PBE.

Results
As for the calculated density: 6.9 g/cm3. The energy relative to the lowest polymorph listed for this composition is 1.6 kJ/mol of atoms. As for the magnetization: 0.0 μB per cell. The value obtained for the energy relative to the elements is -234 meV/atom.

POSCAR file:
```
SrIn2NiBi
1.0
-4.709 0.043 -1.579
-0.812 -4.324 2.305
-1.561 2.815 4.731
Sr Ni Bi In
1 1 1 2
direct
0.500 0.500 0.500
0.000 0.000 0.000
0.000 0.000 0.500
0.000 0.500 0.000
0.500 0.000 0.000
```